Compound: SnHg2Pb5
Source: the Alexandria database
Functional: PBE
Structure: relaxed

Values from the calculation:
Space group   No. 140
Formation energy   0.0401 eV/atom
Total energy   -2.85 eV/atom
Relative energy among the computed polymorphs   0 meV per atom

abc: 9.201 9.201 9.201
angles: 127.21 127.21 77.91
Positions (direct):
Sn 0.250 0.250 0.000
Sn 0.750 0.750 0.000
Hg 0.142 0.642 0.784
Hg 0.358 0.142 0.500
Hg 0.642 0.858 0.500
Hg 0.858 0.358 0.216
Pb 0.000 0.000 0.000
Pb 0.007 0.811 0.500
Pb 0.189 0.689 0.196
Pb 0.311 0.507 0.500
Pb 0.493 0.993 0.804
Pb 0.500 0.500 0.000
Pb 0.507 0.007 0.196
Pb 0.689 0.493 0.500
Pb 0.811 0.311 0.804
Pb 0.993 0.189 0.500